(1)
The following is a GGA-PBE calculation of an optimized crystal structure of KCaNb, from Alexandria.

Cell: 8.121 8.121 8.121 Å, 90.00 90.00 90.00°
Space group F-43m (No. 216)
Symmetry-distinct sites (fractional):
K 0.000 0.000 0.000
Ca 0.000 0.000 0.500
Nb 0.250 0.250 0.750

Calculated values
Theoretical density   2.1 g/cm3
Raw total energy   -35.0 eV/cell
Relative energy among the computed polymorphs   1196.1 meV per atom
DFT formation energy   1.477 eV per atom
Fermi-level density of states   10.067 states/eV/cell


(2)
The following is a GGA-PBE calculation of an optimized crystal structure of NiHBr, from Alexandria.

Cell: 3.544 4.621 7.840 Å, 77.62 89.77 67.94°
Space group P1 (No. 1)
Symmetry-distinct sites (fractional):
Ni 0.000 0.000 0.000
Ni 0.457 0.091 0.787
H 0.344 0.809 0.893
H 0.845 0.809 0.893
Br 0.454 0.092 0.177
Br 0.841 0.332 0.610

Calculated values
Theoretical density   4.0 g/cm3
Raw total energy   -22.0 eV/cell
Relative energy among the computed polymorphs   3.3 meV per atom


(3)
The following is a GGA-PBE calculation of an optimized crystal structure of HfGa2Ir, from Alexandria.

Cell: 6.383 6.383 6.383 Å, 90.00 90.00 90.00°
Space group Fm-3m (No. 225)
Symmetry-distinct sites (fractional):
Hf 0.000 0.000 0.000
Ga 0.250 0.250 0.250
Ir 0.000 0.000 0.500

Calculated values
Theoretical density   13.0 g/cm3
Raw total energy   -104.9 eV/cell
DFT formation energy   -0.337 eV per atom
Fermi-level density of states   28.412 states/eV/cell


(4)
The following is a GGA-PBE calculation of an optimized crystal structure of Cd3GeO2F6, from Alexandria.

Cell: 12.421 6.819 4.803 Å, 90.00 109.26 90.00°
Space group C2/m (No. 12)
Symmetry-distinct sites (fractional):
Cd 0.000 0.000 0.000
Cd 0.250 0.250 0.500
Ge 0.000 0.500 0.500
O 0.162 0.000 0.300
F 0.087 0.307 0.735
F 0.098 0.500 0.282

Calculated values
Theoretical density   4.8 g/cm3
Raw total energy   -102.3 eV/cell
Uncorrected formation energy   -1.887 eV per atom


(5)
The following is a GGA-PBE calculation of an optimized crystal structure of LiPaPd2, from Alexandria.

Cell: 6.711 6.711 6.711 Å, 90.00 90.00 90.00°
Space group Fm-3m (No. 225)
Symmetry-distinct sites (fractional):
Li 0.000 0.000 0.000
Pa 0.000 0.000 0.500
Pd 0.250 0.250 0.250

Calculated values
Theoretical density   9.9 g/cm3
Raw total energy   -93.6 eV/cell
Relative energy among the computed polymorphs   92.4 meV per atom
DFT formation energy   -0.401 eV per atom
Fermi-level density of states   24.306 states/eV/cell


(6)
The following is a GGA-PBE calculation of an optimized crystal structure of Ho4Er5Sc, from Alexandria.

Cell: 10.498 10.498 5.685 Å, 90.00 90.00 90.00°
Space group I4mm (No. 107)
Symmetry-distinct sites (fractional):
Ho 0.000 0.323 0.000
Er 0.000 0.000 0.773
Er 0.187 0.187 0.491
Sc 0.000 0.000 0.243

Calculated values
Theoretical density   8.2 g/cm3
Raw total energy   -90.1 eV/cell
Relative energy among the computed polymorphs   211.7 meV per atom
DFT formation energy   0.241 eV per atom
Fermi-level density of states   26.109 states/eV/cell


> Number 1 is which compound?

KCaNb


> The lowest raw total energy belongs to which entry?

HfGa2Ir